Entry 1:
A plane-wave DFT calculation with GGA-PBE was carried out for an optimized crystal structure of AsIr4W.

Cell and atoms, written as CIF:
```
data_AsIr4W
_space_group_name_H-M_alt 'F -4 3 m'
_space_group_IT_number 216
_space_group_name_Hall 'F -4 2 3'
_cell_length_a 7.3184
_cell_length_b 7.3184
_cell_length_c 7.3184
_cell_angle_alpha 90.00
_cell_angle_beta 90.00
_cell_angle_gamma 90.00
loop_
_atom_site_label
_atom_site_fract_x
_atom_site_fract_y
_atom_site_fract_z
As1 0.0000 0.0000 0.0000
Ir1 0.1247 0.1247 0.6247
W1 0.2500 0.2500 0.2500
```

DFT formation energy in eV/atom: 0.62
Spin magnetization in μB per cell: 0.00
Calculated volume in Å³/atom: 16.33

Entry 2:
A plane-wave DFT calculation with GGA-PBE was carried out for an optimized crystal structure of AsIrW2.

Cell and atoms, written as CIF:
```
data_AsIrW2
_space_group_name_H-M_alt 'I 4/m m m'
_space_group_IT_number 139
_space_group_name_Hall '-I 4 2'
_cell_length_a 3.8382
_cell_length_b 3.8382
_cell_length_c 8.4489
_cell_angle_alpha 90.00
_cell_angle_beta 90.00
_cell_angle_gamma 90.00
loop_
_atom_site_label
_atom_site_fract_x
_atom_site_fract_y
_atom_site_fract_z
As1 0.0000 0.0000 0.0000
Ir1 0.0000 0.0000 0.5000
W1 0.0000 0.5000 0.2500
```

DFT formation energy in eV/atom: 0.32
Spin magnetization in μB per cell: 0.00
Calculated volume in Å³/atom: 15.56

Entry 3:
A plane-wave DFT calculation with GGA-PBE was carried out for an optimized crystal structure of As2IrW.

Cell and atoms, written as CIF:
```
data_As2IrW
_space_group_name_H-M_alt 'R 3 m'
_space_group_IT_number 160
_space_group_name_Hall 'R 3 -2"'
_cell_length_a 2.8828
_cell_length_b 2.8828
_cell_length_c 31.0893
_cell_angle_alpha 90.00
_cell_angle_beta 90.00
_cell_angle_gamma 120.00
loop_
_atom_site_label
_atom_site_fract_x
_atom_site_fract_y
_atom_site_fract_z
As1 0.0000 0.0000 0.0000
As2 0.0000 0.0000 0.2059
Ir1 0.0000 0.0000 0.7311
W1 0.0000 0.0000 0.4700
```

DFT formation energy in eV/atom: 0.12
Spin magnetization in μB per cell: 0.00
Calculated volume in Å³/atom: 18.65

Entry 4:
A plane-wave DFT calculation with GGA-PBE was carried out for an optimized crystal structure of As2IrW.

Cell and atoms, written as CIF:
```
data_As2IrW
_space_group_name_H-M_alt 'C m m m'
_space_group_IT_number 65
_space_group_name_Hall '-C 2 2'
_cell_length_a 3.5324
_cell_length_b 4.7121
_cell_length_c 7.7441
_cell_angle_alpha 90.00
_cell_angle_beta 90.00
_cell_angle_gamma 90.00
loop_
_atom_site_label
_atom_site_fract_x
_atom_site_fract_y
_atom_site_fract_z
As1 0.0000 0.0000 0.2434
Ir1 0.0000 0.5000 0.0000
W1 0.0000 0.5000 0.5000
```

DFT formation energy in eV/atom: 0.53
Spin magnetization in μB per cell: 0.00
Calculated volume in Å³/atom: 16.11

Entry 5:
A plane-wave DFT calculation with GGA-PBE was carried out for an optimized crystal structure of AsIrW2.

Cell and atoms, written as CIF:
```
data_AsIrW2
_space_group_name_H-M_alt 'I m m 2'
_space_group_IT_number 44
_cell_length_a 2.9861
_cell_length_b 4.5074
_cell_length_c 9.1326
_cell_angle_alpha 90.00
_cell_angle_beta 90.00
_cell_angle_gamma 90.00
loop_
_space_group_symop_operation_xyz
'x,y,z'
'-x,-y,z'
'-x,y,z'
'x,-y,z'
'x+1/2,y+1/2,z+1/2'
'-x+1/2,-y+1/2,z+1/2'
'-x+1/2,y+1/2,z+1/2'
'x+1/2,-y+1/2,z+1/2'
loop_
_atom_site_label
_atom_site_fract_x
_atom_site_fract_y
_atom_site_fract_z
As1 0.0000 0.0000 0.0000
Ir1 0.0000 0.5000 0.7239
W1 0.0000 0.0000 0.4884
W2 0.0000 0.5000 0.2762
```

DFT formation energy in eV/atom: 0.14
Spin magnetization in μB per cell: 0.00
Calculated volume in Å³/atom: 15.37

Entry 6:
A plane-wave DFT calculation with GGA-PBE was carried out for an optimized crystal structure of AsIrW2.

Cell and atoms, written as CIF:
```
data_AsIrW2
_space_group_name_H-M_alt 'I m m m'
_space_group_IT_number 71
_space_group_name_Hall '-I 2 2'
_cell_length_a 3.0283
_cell_length_b 4.5776
_cell_length_c 8.9401
_cell_angle_alpha 90.00
_cell_angle_beta 90.00
_cell_angle_gamma 90.00
loop_
_atom_site_label
_atom_site_fract_x
_atom_site_fract_y
_atom_site_fract_z
As1 0.0000 0.0000 0.0000
Ir1 0.0000 0.0000 0.5000
W1 0.0000 0.5000 0.2714
```

DFT formation energy in eV/atom: 0.20
Spin magnetization in μB per cell: 0.00
Calculated volume in Å³/atom: 15.49

Entry 7:
A plane-wave DFT calculation with GGA-PBE was carried out for an optimized crystal structure of As2IrW.

Cell and atoms, written as CIF:
```
data_As2IrW
_space_group_name_H-M_alt 'P 4 m m'
_space_group_IT_number 99
_cell_length_a 2.8620
_cell_length_b 2.8620
_cell_length_c 9.1806
_cell_angle_alpha 90.00
_cell_angle_beta 90.00
_cell_angle_gamma 90.00
loop_
_space_group_symop_operation_xyz
'x,y,z'
'-y,x,z'
'-x,-y,z'
'y,-x,z'
'-x,y,z'
'y,x,z'
'x,-y,z'
'-y,-x,z'
loop_
_atom_site_label
_atom_site_fract_x
_atom_site_fract_y
_atom_site_fract_z
As1 0.0000 0.0000 0.0000
As2 0.5000 0.5000 0.3965
Ir1 0.0000 0.0000 0.5916
W1 0.5000 0.5000 0.7944
```

DFT formation energy in eV/atom: 0.03
Spin magnetization in μB per cell: 0.00
Calculated volume in Å³/atom: 18.80

Entry 8:
A plane-wave DFT calculation with GGA-PBE was carried out for an optimized crystal structure of AsIr3W.

Cell and atoms, written as CIF:
```
data_AsIr3W
_space_group_name_H-M_alt 'P m -3 m'
_space_group_IT_number 221
_space_group_name_Hall '-P 4 2 3'
_cell_length_a 4.7553
_cell_length_b 4.7553
_cell_length_c 4.7553
_cell_angle_alpha 90.00
_cell_angle_beta 90.00
_cell_angle_gamma 90.00
loop_
_atom_site_label
_atom_site_fract_x
_atom_site_fract_y
_atom_site_fract_z
As1 0.0000 0.0000 0.0000
Ir1 0.0000 0.5000 0.5000
W1 0.5000 0.5000 0.5000
```

DFT formation energy in eV/atom: 1.70
Spin magnetization in μB per cell: 0.00
Calculated volume in Å³/atom: 21.51

Entry 9:
A plane-wave DFT calculation with GGA-PBE was carried out for an optimized crystal structure of AsIrW2.

Cell and atoms, written as CIF:
```
data_AsIrW2
_space_group_name_H-M_alt 'A m m 2'
_space_group_IT_number 38
_cell_length_a 4.1123
_cell_length_b 2.8637
_cell_length_c 10.4959
_cell_angle_alpha 90.00
_cell_angle_beta 90.00
_cell_angle_gamma 90.00
loop_
_space_group_symop_operation_xyz
'x,y,z'
'-x,-y,z'
'-x,y,z'
'x,-y,z'
'x,y+1/2,z+1/2'
'-x,-y+1/2,z+1/2'
'-x,y+1/2,z+1/2'
'x,-y+1/2,z+1/2'
loop_
_atom_site_label
_atom_site_fract_x
_atom_site_fract_y
_atom_site_fract_z
As1 0.0000 0.0000 0.0000
Ir1 0.5000 0.0000 0.1329
W1 0.0000 0.0000 0.7555
W2 0.5000 0.0000 0.3938
```

DFT formation energy in eV/atom: 0.12
Spin magnetization in μB per cell: 0.00
Calculated volume in Å³/atom: 15.45

Entry 10:
A plane-wave DFT calculation with GGA-PBE was carried out for an optimized crystal structure of AsIrW2.

Cell and atoms, written as CIF:
```
data_AsIrW2
_space_group_name_H-M_alt 'P m m m'
_space_group_IT_number 47
_cell_length_a 2.8745
_cell_length_b 4.1078
_cell_length_c 5.2666
_cell_angle_alpha 90.00
_cell_angle_beta 90.00
_cell_angle_gamma 90.00
loop_
_space_group_symop_operation_xyz
'x,y,z'
'-x,-y,-z'
'-x,-y,z'
'x,y,-z'
'x,-y,-z'
'-x,y,z'
'-x,y,-z'
'x,-y,z'
loop_
_atom_site_label
_atom_site_fract_x
_atom_site_fract_y
_atom_site_fract_z
As1 0.0000 0.0000 0.0000
Ir1 0.0000 0.0000 0.5000
W1 0.5000 0.5000 0.2483
```

DFT formation energy in eV/atom: 0.27
Spin magnetization in μB per cell: 0.00
Calculated volume in Å³/atom: 15.55

Entry 11:
A plane-wave DFT calculation with GGA-PBE was carried out for an optimized crystal structure of AsIrW2.

Cell and atoms, written as CIF:
```
data_AsIrW2
_space_group_name_H-M_alt 'R 3 m'
_space_group_IT_number 160
_space_group_name_Hall 'R 3 -2"'
_cell_length_a 2.8523
_cell_length_b 2.8523
_cell_length_c 27.0134
_cell_angle_alpha 90.00
_cell_angle_beta 90.00
_cell_angle_gamma 120.00
loop_
_atom_site_label
_atom_site_fract_x
_atom_site_fract_y
_atom_site_fract_z
As1 0.0000 0.0000 0.0000
Ir1 0.0000 0.0000 0.2493
W1 0.0000 0.0000 0.5041
W2 0.0000 0.0000 0.7469
```

DFT formation energy in eV/atom: 0.22
Spin magnetization in μB per cell: 0.00
Calculated volume in Å³/atom: 15.86

Entry 12:
A plane-wave DFT calculation with GGA-PBE was carried out for an optimized crystal structure of AsIrW2.

Cell and atoms, written as CIF:
```
data_AsIrW2
_space_group_name_H-M_alt 'P 4 m m'
_space_group_IT_number 99
_cell_length_a 3.2464
_cell_length_b 3.2464
_cell_length_c 6.0553
_cell_angle_alpha 90.00
_cell_angle_beta 90.00
_cell_angle_gamma 90.00
loop_
_space_group_symop_operation_xyz
'x,y,z'
'-y,x,z'
'-x,-y,z'
'y,-x,z'
'-x,y,z'
'y,x,z'
'x,-y,z'
'-y,-x,z'
loop_
_atom_site_label
_atom_site_fract_x
_atom_site_fract_y
_atom_site_fract_z
As1 0.0000 0.0000 0.0000
Ir1 0.5000 0.5000 0.2929
W1 0.0000 0.0000 0.5049
W2 0.5000 0.5000 0.7838
```

DFT formation energy in eV/atom: 0.20
Spin magnetization in μB per cell: 0.00
Calculated volume in Å³/atom: 15.95

| no. | calculated total energy (eV for the cell shown) |
| --- | --- |
| 1 | -197.42 |
| 2 | -76.30 |
| 3 | -91.84 |
| 4 | -57.99 |
| 5 | -77.67 |
| 6 | -77.23 |
| 7 | -30.99 |
| 8 | -35.66 |
| 9 | -77.85 |
| 10 | -38.35 |
| 11 | -115.64 |
| 12 | -38.63 |